Computed, not measured: a relaxed KInSe2 crystal at the PBE-GGA level of DFT.

Structure (POSCAR):
```
KInSe2
1.0
-2.177 2.177 5.584
2.177 -2.177 5.584
2.177 2.177 -5.584
K In Se
1 1 2
direct
0.000 0.000 0.000
0.750 0.250 0.500
0.250 0.750 0.500
0.500 0.500 0.000
```

Computed properties:
The calculation puts the energy at -12.0 eV/cell. The value obtained for the total magnetic moment is 0.00 μB per formula unit. For the formation energy (no corrections), the calculation gives -7.057 kcal/mol of atoms.

Computed, not measured: a relaxed KIn2Se2 crystal at the PBE-GGA level of DFT.

Structure (POSCAR):
```
KIn2Se2
1.0
-2.733 2.733 4.982
2.733 -2.733 4.982
2.733 2.733 -4.982
K In Se
1 2 2
direct
0.000 0.000 0.000
0.350 0.350 0.000
0.650 0.650 0.000
0.250 0.750 0.500
0.750 0.250 0.500
```

Computed properties:
The calculation puts the energy at -16.6 eV/cell. The value obtained for the total magnetic moment is 0.00 μB per formula unit. For the formation energy (no corrections), the calculation gives -14.032 kcal/mol of atoms. The calculation puts the energy above the most stable polymorph in this dataset at 0.000 eV per formula unit.

Computed, not measured: a relaxed K3InSe3 crystal at the PBE-GGA level of DFT.

Structure (POSCAR):
```
K3InSe3
1.0
4.542 -6.976 0.000
4.542 6.976 0.000
-1.399 0.000 7.878
K In Se
6 2 6
direct
0.177 0.823 0.000
0.239 0.761 0.500
0.394 0.394 0.144
0.606 0.606 0.856
0.761 0.239 0.500
0.823 0.177 0.000
0.182 0.182 0.646
0.818 0.818 0.354
0.104 0.104 0.308
0.155 0.461 0.778
0.461 0.155 0.778
0.539 0.845 0.222
0.845 0.539 0.222
0.896 0.896 0.692
```

Computed properties:
The calculation puts the energy at -47.7 eV/cell. The value obtained for the total magnetic moment is 0.00 μB per formula unit. For the formation energy (no corrections), the calculation gives -24.269 kcal/mol of atoms.

Computed, not measured: a relaxed KIn3Se crystal at the PBE-GGA level of DFT.

Structure (POSCAR):
```
KIn3Se
1.0
5.820 0.000 0.000
0.000 5.820 0.000
0.000 0.000 5.820
K In Se
1 3 1
direct
0.000 0.000 0.000
0.000 0.500 0.500
0.500 0.000 0.500
0.500 0.500 0.000
0.500 0.500 0.500
```

Computed properties:
The calculation puts the energy at -12.4 eV/cell. The value obtained for the total magnetic moment is 0.00 μB per formula unit. For the formation energy (no corrections), the calculation gives 1.907 kcal/mol of atoms. The calculation puts the energy above the most stable polymorph in this dataset at 0.000 eV per formula unit.

Computed, not measured: a relaxed KInSe2 crystal at the PBE-GGA level of DFT.

Structure (POSCAR):
```
KInSe2
1.0
-1.878 1.957 7.824
1.878 -1.957 7.824
1.878 1.957 -7.824
K In Se
1 1 2
direct
0.000 0.000 0.000
0.747 0.247 0.500
0.325 0.825 0.500
0.620 0.620 0.000
```

Computed properties:
The calculation puts the energy at -13.3 eV/cell. The value obtained for the total magnetic moment is 0.00 μB per formula unit. For the formation energy (no corrections), the calculation gives -14.493 kcal/mol of atoms.

Computed, not measured: a relaxed KInSe2 crystal at the PBE-GGA level of DFT.

Structure (POSCAR):
```
KInSe2
1.0
3.598 0.000 0.000
0.000 3.663 0.000
0.000 0.000 7.924
K In Se
1 1 2
direct
0.000 0.000 0.000
0.000 0.000 0.500
0.500 0.500 0.289
0.500 0.500 0.711
```

Computed properties:
The calculation puts the energy at -12.7 eV/cell. The value obtained for the total magnetic moment is 0.00 μB per formula unit. For the formation energy (no corrections), the calculation gives -10.877 kcal/mol of atoms.

Computed, not measured: a relaxed KIn2Se2 crystal at the PBE-GGA level of DFT.

Structure (POSCAR):
```
KIn2Se2
1.0
8.504 0.000 0.000
0.000 8.504 0.000
0.000 0.000 4.009
K In Se
2 4 4
direct
0.000 0.000 0.000
0.500 0.500 0.000
0.135 0.365 0.500
0.365 0.865 0.500
0.635 0.135 0.500
0.865 0.635 0.500
0.160 0.660 0.000
0.340 0.160 0.000
0.660 0.840 0.000
0.840 0.340 0.000
```

Computed properties:
The calculation puts the energy at -31.5 eV/cell. The value obtained for the total magnetic moment is 0.00 μB per formula unit. For the formation energy (no corrections), the calculation gives -10.279 kcal/mol of atoms. The calculation puts the energy above the most stable polymorph in this dataset at 0.814 eV per formula unit.

Computed, not measured: a relaxed K9InSe7 crystal at the PBE-GGA level of DFT.

Structure (POSCAR):
```
K9InSe7
1.0
11.400 0.000 0.000
0.000 8.271 0.000
-5.438 0.000 24.639
K In Se
36 4 28
direct
0.015 0.073 0.273
0.015 0.427 0.773
0.116 0.141 0.453
0.116 0.359 0.953
0.163 0.043 0.064
0.163 0.457 0.564
0.238 0.558 0.090
0.238 0.942 0.590
0.262 0.574 0.714
0.262 0.926 0.214
0.289 0.079 0.801
0.289 0.421 0.301
0.357 0.588 0.458
0.357 0.912 0.958
0.425 0.059 0.422
0.425 0.441 0.922
0.458 0.239 0.667
0.458 0.261 0.167
0.542 0.739 0.833
0.542 0.761 0.333
0.575 0.559 0.078
0.575 0.941 0.578
0.643 0.088 0.042
0.643 0.412 0.542
0.711 0.579 0.699
0.711 0.921 0.199
0.738 0.074 0.786
0.738 0.426 0.286
0.762 0.058 0.410
0.762 0.442 0.910
0.837 0.543 0.436
0.837 0.957 0.936
0.884 0.641 0.047
0.884 0.859 0.547
0.985 0.573 0.227
0.985 0.927 0.727
0.056 0.697 0.372
0.056 0.803 0.872
0.944 0.197 0.128
0.944 0.303 0.628
0.034 0.117 0.852
0.034 0.383 0.352
0.092 0.744 0.976
0.092 0.756 0.476
0.156 0.194 0.679
0.156 0.306 0.179
0.236 0.690 0.834
0.236 0.810 0.334
0.377 0.235 0.532
0.377 0.265 0.032
0.437 0.622 0.623
0.437 0.878 0.123
0.474 0.667 0.194
0.474 0.833 0.694
0.526 0.167 0.306
0.526 0.333 0.806
0.563 0.122 0.877
0.563 0.378 0.377
0.623 0.735 0.968
0.623 0.765 0.468
0.764 0.190 0.666
0.764 0.310 0.166
0.844 0.694 0.821
0.844 0.806 0.321
0.908 0.244 0.524
0.908 0.256 0.024
0.966 0.617 0.648
0.966 0.883 0.148
```

Computed properties:
The calculation puts the energy at -220.2 eV/cell. The value obtained for the total magnetic moment is 0.00 μB per formula unit. For the formation energy (no corrections), the calculation gives -24.465 kcal/mol of atoms.

Computed, not measured: a relaxed KInSe2 crystal at the PBE-GGA level of DFT.

Structure (POSCAR):
```
KInSe2
1.0
3.935 0.000 0.000
0.000 3.935 0.000
0.000 0.000 8.257
K In Se
1 1 2
direct
0.000 0.000 0.000
0.500 0.500 0.490
0.000 0.000 0.595
0.500 0.500 0.182
```

Computed properties:
The calculation puts the energy at -13.3 eV/cell. The value obtained for the total magnetic moment is 0.00 μB per formula unit. For the formation energy (no corrections), the calculation gives -14.441 kcal/mol of atoms.

Computed, not measured: a relaxed K2InSe crystal at the PBE-GGA level of DFT.

Structure (POSCAR):
```
K2InSe
1.0
0.000 4.053 4.053
4.053 0.000 4.053
4.053 4.053 0.000
K In Se
2 1 1
direct
0.000 0.000 0.000
0.250 0.250 0.250
0.500 0.500 0.500
0.750 0.750 0.750
```

Computed properties:
The calculation puts the energy at -9.8 eV/cell. The value obtained for the total magnetic moment is 0.00 μB per formula unit. For the formation energy (no corrections), the calculation gives -8.200 kcal/mol of atoms. The calculation puts the energy above the most stable polymorph in this dataset at 1.002 eV per formula unit.

Computed, not measured: a relaxed K2InSe crystal at the PBE-GGA level of DFT.

Structure (POSCAR):
```
K2InSe
1.0
-2.627 2.627 11.170
2.627 -2.627 11.170
2.627 2.627 -11.170
K In Se
4 2 2
direct
0.080 0.625 0.955
0.375 0.330 0.455
0.670 0.125 0.045
0.875 0.920 0.545
0.250 0.750 0.500
0.500 0.500 0.000
0.000 0.000 0.000
0.750 0.250 0.500
```

Computed properties:
The calculation puts the energy at -19.0 eV/cell. The value obtained for the total magnetic moment is 0.94 μB per formula unit. For the formation energy (no corrections), the calculation gives -6.147 kcal/mol of atoms. The calculation puts the energy above the most stable polymorph in this dataset at 1.358 eV per formula unit.